# Nb6ReW2 (PBE-GGA, relaxed)
# magnetic moment	0.00	μB/f.u.
# ΔH_f (0 K)	589	meV/atom
# D(E_F)	10.84	states/eV/f.u.
data_Nb6ReW2
_chemical_formula_sum 'Nb12 Re2 W4'
_space_group_name_H-M_alt 'C 1 2/m 1'
_space_group_IT_number 12
_space_group_name_Hall '-C 2y'
_cell_length_a 14.022
_cell_length_b 6.295
_cell_length_c 4.404
_cell_angle_alpha 90.00
_cell_angle_beta 108.24
_cell_angle_gamma 90.00
loop_
_atom_site_label
_atom_site_type_symbol
_atom_site_fract_x
_atom_site_fract_y
_atom_site_fract_z
Nb1 Nb 0.000 0.248 0.000
Nb2 Nb 0.166 0.248 0.666
Re1 Re 0.000 0.000 0.500
W1 W 0.166 0.500 0.166

# InSbPb (PBE-GGA, relaxed)
# magnetic moment	0.00	μB/f.u.
# E_form (uncorrected)	4	kJ/mol of formula units
# polymorph energy (0 for the lowest one)	0.0000	eV/atom
# D(E_F)	1.26	states/eV/f.u.
data_InSbPb
_chemical_formula_sum 'In2 Sb2 Pb2'
_space_group_name_H-M_alt 'P -1'
_space_group_IT_number 2
_space_group_name_Hall '-P 1'
_cell_length_a 4.566
_cell_length_b 6.588
_cell_length_c 7.191
_cell_angle_alpha 114.64
_cell_angle_beta 91.14
_cell_angle_gamma 110.15
loop_
_atom_site_label
_atom_site_type_symbol
_atom_site_fract_x
_atom_site_fract_y
_atom_site_fract_z
In1 In 0.135 0.296 0.070
Sb1 Sb 0.191 0.355 0.673
Pb1 Pb 0.437 0.891 0.689

# Pr12Hg5N2 (PBE-GGA, relaxed)
# magnetic moment	0.00	μB/f.u.
# E_form (uncorrected)	-771	kJ/mol of formula units
# D(E_F)	19.01	states/eV/f.u.
data_Pr12Hg5N2
_chemical_formula_sum 'Pr24 Hg10 N4'
_space_group_name_H-M_alt 'C 1 2/m 1'
_space_group_IT_number 12
_space_group_name_Hall '-C 2y'
_cell_length_a 18.907
_cell_length_b 7.506
_cell_length_c 8.877
_cell_angle_alpha 90.00
_cell_angle_beta 116.41
_cell_angle_gamma 90.00
loop_
_atom_site_label
_atom_site_type_symbol
_atom_site_fract_x
_atom_site_fract_y
_atom_site_fract_z
Pr1 Pr 0.004 0.000 0.301
Pr2 Pr 0.010 0.500 0.334
Pr3 Pr 0.147 0.246 0.656
Pr4 Pr 0.148 0.248 0.147
Hg1 Hg 0.000 0.500 0.000
Hg2 Hg 0.248 0.000 0.000
Hg3 Hg 0.249 0.000 0.497
N1 N 0.000 0.235 0.500

# Y2Zn3Au9 (PBE-GGA, relaxed)
# magnetic moment	0.00	μB/f.u.
# ΔH_f (0 K)	-489	meV/atom
# D(E_F)	5.11	states/eV/f.u.
data_Y2Zn3Au9
_chemical_formula_sum 'Y8 Zn12 Au36'
_space_group_name_H-M_alt 'C 1 2/c 1'
_space_group_IT_number 15
_space_group_name_Hall '-C 2yc'
_cell_length_a 13.706
_cell_length_b 7.915
_cell_length_c 10.825
_cell_angle_alpha 90.00
_cell_angle_beta 114.58
_cell_angle_gamma 90.00
loop_
_atom_site_label
_atom_site_type_symbol
_atom_site_fract_x
_atom_site_fract_y
_atom_site_fract_z
Y1 Y 0.167 0.083 0.249
Zn1 Zn 0.087 0.237 0.499
Zn2 Zn 0.250 0.250 0.000
Au1 Au 0.000 0.358 0.250
Au2 Au 0.060 0.086 0.928
Au3 Au 0.111 0.306 0.747
Au4 Au 0.111 0.414 0.078
Au5 Au 0.225 0.419 0.430

# AlSi2Tc (PBE-GGA, relaxed)
# magnetic moment	0.00	μB/f.u.
# E_form (uncorrected)	7	kJ/mol of formula units
# D(E_F)	2.15	states/eV/f.u.
data_AlSi2Tc
_chemical_formula_sum 'Al1 Si2 Tc1'
_space_group_name_H-M_alt 'P 4/m m m'
_space_group_IT_number 123
_space_group_name_Hall '-P 4 2'
_cell_length_a 4.203
_cell_length_b 4.203
_cell_length_c 3.137
_cell_angle_alpha 90.00
_cell_angle_beta 90.00
_cell_angle_gamma 90.00
loop_
_atom_site_label
_atom_site_type_symbol
_atom_site_fract_x
_atom_site_fract_y
_atom_site_fract_z
Al1 Al 0.000 0.000 0.000
Si1 Si 0.000 0.500 0.500
Tc1 Tc 0.500 0.500 0.000

# BeHg3Ir (PBE-GGA, relaxed)
# magnetic moment	0.00	μB/f.u.
# ΔH_f (0 K)	941	meV/atom
# polymorph energy (0 for the lowest one)	0.0147	eV/atom
# D(E_F)	5.51	states/eV/f.u.
data_BeHg3Ir
_chemical_formula_sum 'Be1 Hg3 Ir1'
_space_group_name_H-M_alt 'P m -3 m'
_space_group_IT_number 221
_space_group_name_Hall '-P 4 2 3'
_cell_length_a 4.597
_cell_length_b 4.597
_cell_length_c 4.597
_cell_angle_alpha 90.00
_cell_angle_beta 90.00
_cell_angle_gamma 90.00
loop_
_atom_site_label
_atom_site_type_symbol
_atom_site_fract_x
_atom_site_fract_y
_atom_site_fract_z
Be1 Be 0.000 0.000 0.000
Hg1 Hg 0.000 0.000 0.500
Ir1 Ir 0.500 0.500 0.500

# TcSbOsI2 (PBE-GGA, relaxed)
# magnetic moment	4.64	μB/f.u.
# E_form (uncorrected)	701	kJ/mol of formula units
# polymorph energy (0 for the lowest one)	0.0000	eV/atom
# D(E_F)	5.28	states/eV/f.u.
data_TcSbOsI2
_chemical_formula_sum 'Tc1 Sb1 Os1 I2'
_space_group_name_H-M_alt 'P 4/m m m'
_space_group_IT_number 123
_space_group_name_Hall '-P 4 2'
_cell_length_a 5.523
_cell_length_b 5.523
_cell_length_c 5.026
_cell_angle_alpha 90.00
_cell_angle_beta 90.00
_cell_angle_gamma 90.00
loop_
_atom_site_label
_atom_site_type_symbol
_atom_site_fract_x
_atom_site_fract_y
_atom_site_fract_z
Tc1 Tc 0.000 0.000 0.000
Sb1 Sb 0.500 0.500 0.000
Os1 Os 0.500 0.500 0.500
I1 I 0.000 0.500 0.500

# ScBiSe2Br (PBE-GGA, relaxed)
# magnetic moment	0.00	μB/f.u.
# E_form (uncorrected)	-306	kJ/mol of formula units
# polymorph energy (0 for the lowest one)	0.0000	eV/atom
# D(E_F)	3.42	states/eV/f.u.
data_ScBiSe2Br
_chemical_formula_sum 'Sc1 Bi1 Se2 Br1'
_space_group_name_H-M_alt 'P 4/m m m'
_space_group_IT_number 123
_space_group_name_Hall '-P 4 2'
_cell_length_a 5.257
_cell_length_b 5.257
_cell_length_c 5.072
_cell_angle_alpha 90.00
_cell_angle_beta 90.00
_cell_angle_gamma 90.00
loop_
_atom_site_label
_atom_site_type_symbol
_atom_site_fract_x
_atom_site_fract_y
_atom_site_fract_z
Sc1 Sc 0.000 0.000 0.000
Bi1 Bi 0.500 0.500 0.500
Se1 Se 0.000 0.500 0.000
Br1 Br 0.000 0.000 0.500

# NaTe2Rh (PBE-GGA, relaxed)
# magnetic moment	0.00	μB/f.u.
# E_form (uncorrected)	-215	kJ/mol of formula units
# D(E_F)	0.26	states/eV/f.u.
data_NaTe2Rh
_chemical_formula_sum 'Na3 Te6 Rh3'
_space_group_name_H-M_alt 'R 3 m'
_space_group_IT_number 160
_space_group_name_Hall 'R 3 -2"'
_cell_length_a 4.0871
_cell_length_b 4.0871
_cell_length_c 21.6539
_cell_angle_alpha 90.00
_cell_angle_beta 90.00
_cell_angle_gamma 120.00
loop_
_atom_site_label
_atom_site_type_symbol
_atom_site_fract_x
_atom_site_fract_y
_atom_site_fract_z
Na1 Na 0.0000 0.0000 0.0000
Te1 Te 0.0000 0.0000 0.2293
Te2 Te 0.0000 0.0000 0.4412
Rh1 Rh 0.0000 0.0000 0.8357

# Er6InOs (PBE-GGA, relaxed)
# magnetic moment	0.00	μB/f.u.
# ΔH_f (0 K)	20	meV/atom
# D(E_F)	9.98	states/eV/f.u.
data_Er6InOs
_chemical_formula_sum 'Er6 In1 Os1'
_space_group_name_H-M_alt 'P -1'
_space_group_IT_number 2
_space_group_name_Hall '-P 1'
_cell_length_a 6.833
_cell_length_b 6.846
_cell_length_c 7.446
_cell_angle_alpha 90.13
_cell_angle_beta 117.14
_cell_angle_gamma 119.93
loop_
_atom_site_label
_atom_site_type_symbol
_atom_site_fract_x
_atom_site_fract_y
_atom_site_fract_z
Er1 Er 0.045 0.081 0.256
Er2 Er 0.292 0.710 0.255
Er3 Er 0.324 0.536 0.745
In1 In 0.500 0.000 0.000
Os1 Os 0.500 0.500 0.500

# TbTlPdPt (PBE-GGA, relaxed)
# magnetic moment	0.00	μB/f.u.
# ΔH_f (0 K)	-687	meV/atom
# D(E_F)	3.36	states/eV/f.u.
data_TbTlPdPt
_chemical_formula_sum 'Tb4 Tl4 Pd4 Pt4'
_space_group_name_H-M_alt 'F -4 3 m'
_space_group_IT_number 216
_space_group_name_Hall 'F -4 2 3'
_cell_length_a 6.869
_cell_length_b 6.869
_cell_length_c 6.869
_cell_angle_alpha 90.00
_cell_angle_beta 90.00
_cell_angle_gamma 90.00
loop_
_atom_site_label
_atom_site_type_symbol
_atom_site_fract_x
_atom_site_fract_y
_atom_site_fract_z
Tb1 Tb 0.000 0.000 0.000
Tl1 Tl 0.000 0.000 0.500
Pd1 Pd 0.250 0.250 0.250
Pt1 Pt 0.250 0.250 0.750

# Ga2Br3 (PBE-GGA, relaxed)
# magnetic moment	0.00	μB/f.u.
# E_form (uncorrected)	-227	kJ/mol of formula units
# polymorph energy (0 for the lowest one)	0.0938	eV/atom
# D(E_F)	1.21	states/eV/f.u.
data_Ga2Br3
_chemical_formula_sum 'Ga16 Br24'
_space_group_name_H-M_alt 'F d d 2'
_space_group_IT_number 43
_space_group_name_Hall 'F 2 -2d'
_cell_length_a 8.057
_cell_length_b 15.015
_cell_length_c 12.935
_cell_angle_alpha 90.00
_cell_angle_beta 90.00
_cell_angle_gamma 90.00
loop_
_atom_site_label
_atom_site_type_symbol
_atom_site_fract_x
_atom_site_fract_y
_atom_site_fract_z
Ga1 Ga 0.078 0.342 0.000
Br1 Br 0.000 0.000 0.418
Br2 Br 0.090 0.153 0.940

# Li2Zn2Bi (PBE-GGA, relaxed)
# magnetic moment	0.00	μB/f.u.
# ΔH_f (0 K)	-32	meV/atom
# polymorph energy (0 for the lowest one)	0.1151	eV/atom
# D(E_F)	2.67	states/eV/f.u.
data_Li2Zn2Bi
_chemical_formula_sum 'Li4 Zn4 Bi2'
_space_group_name_H-M_alt 'I 4/m m m'
_space_group_IT_number 139
_space_group_name_Hall '-I 4 2'
_cell_length_a 4.046
_cell_length_b 4.046
_cell_length_c 12.353
_cell_angle_alpha 90.00
_cell_angle_beta 90.00
_cell_angle_gamma 90.00
loop_
_atom_site_label
_atom_site_type_symbol
_atom_site_fract_x
_atom_site_fract_y
_atom_site_fract_z
Li1 Li 0.000 0.500 0.250
Zn1 Zn 0.000 0.000 0.104
Bi1 Bi 0.000 0.000 0.500

# Be2ReAu (PBE-GGA, relaxed)
# magnetic moment	0.00	μB/f.u.
# ΔH_f (0 K)	234	meV/atom
# polymorph energy (0 for the lowest one)	0.2385	eV/atom
# D(E_F)	1.38	states/eV/f.u.
data_Be2ReAu
_chemical_formula_sum 'Be4 Re2 Au2'
_space_group_name_H-M_alt 'I -4 m 2'
_space_group_IT_number 119
_space_group_name_Hall 'I -4 -2'
_cell_length_a 3.368
_cell_length_b 3.368
_cell_length_c 8.800
_cell_angle_alpha 90.00
_cell_angle_beta 90.00
_cell_angle_gamma 90.00
loop_
_atom_site_label
_atom_site_type_symbol
_atom_site_fract_x
_atom_site_fract_y
_atom_site_fract_z
Be1 Be 0.000 0.000 0.000
Be2 Be 0.000 0.500 0.250
Re1 Re 0.000 0.500 0.750
Au1 Au 0.000 0.000 0.500

# Ca2TcAs (PBE-GGA, relaxed)
# magnetic moment	0.00	μB/f.u.
# ΔH_f (0 K)	-166	meV/atom
# D(E_F)	2.51	states/eV/f.u.
data_Ca2TcAs
_chemical_formula_sum 'Ca4 Tc2 As2'
_space_group_name_H-M_alt 'C 1 m 1'
_space_group_IT_number 8
_space_group_name_Hall 'C -2y'
_cell_length_a 11.193
_cell_length_b 3.561
_cell_length_c 5.012
_cell_angle_alpha 90.00
_cell_angle_beta 112.61
_cell_angle_gamma 90.00
loop_
_atom_site_label
_atom_site_type_symbol
_atom_site_fract_x
_atom_site_fract_y
_atom_site_fract_z
Ca1 Ca 0.000 0.000 0.000
Ca2 Ca 0.206 0.000 0.681
Tc1 Tc 0.298 0.500 0.277
As1 As 0.457 0.000 0.459

# Na7Tl12In (PBE-GGA, relaxed)
# magnetic moment	0.00	μB/f.u.
# ΔH_f (0 K)	-2	meV/atom
# polymorph energy (0 for the lowest one)	0.0572	eV/atom
# D(E_F)	11.07	states/eV/f.u.
data_Na7Tl12In
_chemical_formula_sum 'Na21 Tl36 In3'
_space_group_name_H-M_alt 'R -3 m'
_space_group_IT_number 166
_space_group_name_Hall '-R 3 2"'
_cell_length_a 16.4304
_cell_length_b 16.4304
_cell_length_c 7.8680
_cell_angle_alpha 90.00
_cell_angle_beta 90.00
_cell_angle_gamma 120.00
loop_
_atom_site_label
_atom_site_type_symbol
_atom_site_fract_x
_atom_site_fract_y
_atom_site_fract_z
Na1 Na 0.0000 0.0000 0.0000
Na2 Na 0.1084 0.5542 0.8647
Tl1 Tl 0.0000 0.2692 0.5000
Tl2 Tl 0.1098 0.5549 0.4528
In1 In 0.0000 0.0000 0.5000

# Pr2SmPt (PBE-GGA, relaxed)
# magnetic moment	0.43	μB/f.u.
# ΔH_f (0 K)	-236	meV/atom
# polymorph energy (0 for the lowest one)	0.3800	eV/atom
# D(E_F)	6.03	states/eV/f.u.
data_Pr2SmPt
_chemical_formula_sum 'Pr6 Sm3 Pt3'
_space_group_name_H-M_alt 'R -3 m'
_space_group_IT_number 166
_space_group_name_Hall '-R 3 2"'
_cell_length_a 3.8381
_cell_length_b 3.8381
_cell_length_c 32.4695
_cell_angle_alpha 90.00
_cell_angle_beta 90.00
_cell_angle_gamma 120.00
loop_
_atom_site_label
_atom_site_type_symbol
_atom_site_fract_x
_atom_site_fract_y
_atom_site_fract_z
Pr1 Pr 0.0000 0.0000 0.1091
Sm1 Sm 0.0000 0.0000 0.0000
Pt1 Pt 0.0000 0.0000 0.5000

# Nb2ReMo (PBE-GGA, relaxed)
# magnetic moment	0.00	μB/f.u.
# ΔH_f (0 K)	-244	meV/atom
# D(E_F)	1.10	states/eV/f.u.
data_Nb2ReMo
_chemical_formula_sum 'Nb8 Re4 Mo4'
_space_group_name_H-M_alt 'C m c m'
_space_group_IT_number 63
_space_group_name_Hall '-C 2c 2'
_cell_length_a 6.430
_cell_length_b 9.104
_cell_length_c 4.552
_cell_angle_alpha 90.00
_cell_angle_beta 90.00
_cell_angle_gamma 90.00
loop_
_atom_site_label
_atom_site_type_symbol
_atom_site_fract_x
_atom_site_fract_y
_atom_site_fract_z
Nb1 Nb 0.250 0.125 0.250
Re1 Re 0.000 0.125 0.750
Mo1 Mo 0.000 0.375 0.250

# POs (PBE-GGA, relaxed)
# magnetic moment	0.00	μB/f.u.
# ΔH_f (0 K)	-136	meV/atom
# D(E_F)	0.53	states/eV/f.u.
data_POs
_chemical_formula_sum 'P6 Os6'
_space_group_name_H-M_alt 'C 1 m 1'
_space_group_IT_number 8
_space_group_name_Hall 'C -2y'
_cell_length_a 7.959
_cell_length_b 3.043
_cell_length_c 7.600
_cell_angle_alpha 90.00
_cell_angle_beta 106.58
_cell_angle_gamma 90.00
loop_
_atom_site_label
_atom_site_type_symbol
_atom_site_fract_x
_atom_site_fract_y
_atom_site_fract_z
P1 P 0.000 0.000 0.000
P2 P 0.051 0.000 0.632
P3 P 0.375 0.000 0.304
Os1 Os 0.144 0.500 0.239
Os2 Os 0.180 0.500 0.870
Os3 Os 0.325 0.000 0.592

# NpAg5Se5 (PBE-GGA, relaxed)
# magnetic moment	2.69	μB/f.u.
# E_form (uncorrected)	-301	kJ/mol of formula units
# D(E_F)	11.43	states/eV/f.u.
data_NpAg5Se5
_chemical_formula_sum 'Np2 Ag10 Se10'
_space_group_name_H-M_alt 'C 1 2/m 1'
_space_group_IT_number 12
_space_group_name_Hall '-C 2y'
_cell_length_a 12.834
_cell_length_b 5.571
_cell_length_c 7.864
_cell_angle_alpha 90.00
_cell_angle_beta 109.21
_cell_angle_gamma 90.00
loop_
_atom_site_label
_atom_site_type_symbol
_atom_site_fract_x
_atom_site_fract_y
_atom_site_fract_z
Np1 Np 0.000 0.000 0.000
Ag1 Ag 0.000 0.000 0.500
Ag2 Ag 0.159 0.500 0.836
Ag3 Ag 0.164 0.500 0.324
Se1 Se 0.000 0.500 0.000
Se2 Se 0.150 0.000 0.806
Se3 Se 0.186 0.000 0.326